Compound: AlCoAg2Ge
Source: the Alexandria database
Functional: GGA-PBE
Structure: relaxed

Cell lengths 4.822, 4.822, 4.774 Å; angles 90.00, 90.00, 90.00 degrees
Fractional coordinates of all 5 atoms:
Al 0.000 0.000 0.000
Co 0.500 0.500 0.500
Ag 0.000 0.500 0.000
Ag 0.500 0.000 0.000
Ge 0.000 0.000 0.500

Values from the calculation:
E = -16.14 eV/cell
Symmetry = P4/mmm, No. 123
Formation energy from the elements = 1.006 eV/atom
Calculated density = 5.60 g cm⁻³
Total magnetic moment = 2.026 Bohr magnetons per cell
D(E_F) = 0.496 states/eV/atom